Record 1
Material: V3NiBr
Method: DFT, GGA-PBE
State: relaxed

```
V3NiBr
1.0
-0.653 -3.056 3.166
-2.951 -2.071 -2.607
3.265 -2.483 -1.723
V Ni Br
3 1 1
direct
0.000 0.000 0.500 V
0.500 0.000 0.000 V
0.000 0.500 0.000 V
0.000 0.000 0.000 Ni
0.500 0.500 0.500 Br
```

Properties
E_form (uncorrected)   1043 meV/atom
M_tot   0.0 μB per formula unit
Calculated total energy   -5.919 eV/atom
ΔE to the lowest computed polymorph   0.0 meV/atom
Space group   No. 221

***

Record 2
Material: VNi3Br
Method: DFT, GGA-PBE
State: relaxed

```
VNi3Br
1.0
-0.303 4.366 0.703
-3.211 -0.701 2.974
3.041 -0.306 3.211
Ni V Br
3 1 1
direct
0.500 0.000 0.000 Ni
0.000 0.500 0.000 Ni
0.000 0.000 0.500 Ni
0.000 0.000 0.000 V
0.500 0.500 0.500 Br
```

Properties
E_form (uncorrected)   1168 meV/atom
M_tot   1.5 μB per formula unit
Calculated total energy   -4.460 eV/atom
ΔE to the lowest computed polymorph   141.0 meV/atom
Space group   No. 221

***

Record 3
Material: VNi2Br
Method: DFT, GGA-PBE
State: relaxed

```
VNi2Br
1.0
-3.284 4.488 -2.256
-4.177 -0.942 4.205
-1.870 4.353 3.400
V Ni Br
2 4 2
direct
0.250 0.750 0.500 V
0.500 0.500 0.000 V
0.146 0.625 0.250 Ni
0.875 0.854 0.750 Ni
0.604 0.125 0.250 Ni
0.375 0.396 0.750 Ni
0.000 0.000 0.000 Br
0.750 0.250 0.500 Br
```

Properties
E_form (uncorrected)   683 meV/atom
M_tot   0.0 μB per formula unit
Calculated total energy   -4.906 eV/atom
ΔE to the lowest computed polymorph   0.0 meV/atom
Space group   No. 122

***

Record 4
Material: VNiBr2
Method: DFT, GGA-PBE
State: relaxed

```
VNiBr2
1.0
-1.852 3.161 4.330
-5.182 0.116 -2.302
-4.902 -3.111 3.890
Ni Br V
2 4 2
direct
0.750 0.250 0.500 Ni
0.000 0.000 0.000 Ni
0.375 0.351 0.750 Br
0.101 0.625 0.250 Br
0.875 0.899 0.750 Br
0.649 0.125 0.250 Br
0.250 0.750 0.500 V
0.500 0.500 0.000 V
```

Properties
E_form (uncorrected)   160 meV/atom
M_tot   3.0 μB per formula unit
Calculated total energy   -4.402 eV/atom
ΔE to the lowest computed polymorph   0.0 meV/atom
Space group   No. 122

***

Record 5
Material: VNiBr
Method: DFT, GGA-PBE
State: relaxed

```
VNiBr
1.0
3.240 0.000 0.000
0.000 7.187 0.000
0.000 0.000 10.900
V Br Ni
4 4 4
direct
0.409 0.890 0.834 V
0.409 0.390 0.166 V
0.909 0.610 0.834 V
0.909 0.110 0.166 V
0.909 0.002 0.675 Br
0.409 0.998 0.325 Br
0.409 0.498 0.675 Br
0.909 0.502 0.325 Br
0.910 0.380 0.000 Ni
0.910 0.880 0.000 Ni
0.410 0.620 0.000 Ni
0.410 0.120 0.000 Ni
```

Properties
E_form (uncorrected)   -159 meV/atom
M_tot   0.0 μB per formula unit
Calculated total energy   -5.683 eV/atom
Space group   No. 57

***

Record 6
Material: VNi3Br
Method: DFT, GGA-PBE
State: relaxed

```
VNi3Br
1.0
-3.278 2.545 -1.275
-2.471 -3.510 -0.652
-1.413 0.233 4.098
Ni Br V
3 1 1
direct
0.000 0.500 0.000 Ni
0.500 0.000 0.000 Ni
0.000 0.000 0.500 Ni
0.000 0.000 0.000 Br
0.500 0.500 0.500 V
```

Properties
E_form (uncorrected)   1027 meV/atom
M_tot   3.7 μB per formula unit
Calculated total energy   -4.601 eV/atom
ΔE to the lowest computed polymorph   0.0 meV/atom
Space group   No. 221

***

Record 7
Material: VNiBr2
Method: DFT, GGA-PBE
State: relaxed

```
VNiBr2
1.0
0.000 3.283 3.283
3.283 0.000 3.283
3.283 3.283 0.000
Br Ni V
2 1 1
direct
0.250 0.250 0.250 Br
0.750 0.750 0.750 Br
0.500 0.500 0.500 Ni
0.000 0.000 0.000 V
```

Properties
E_form (uncorrected)   385 meV/atom
M_tot   3.0 μB per formula unit
Calculated total energy   -4.177 eV/atom
ΔE to the lowest computed polymorph   225.1 meV/atom
Space group   No. 225

***

Record 8
Material: V2ZnNiBr
Method: DFT, GGA-PBE
State: relaxed

```
V2ZnNiBr
1.0
4.592 0.000 0.000
0.000 4.559 0.000
0.000 0.000 4.592
Br V Zn Ni
1 2 1 1
direct
0.500 0.500 0.500 Br
0.500 0.000 0.000 V
0.000 0.000 0.500 V
0.000 0.500 0.000 Zn
0.000 0.000 0.000 Ni
```

Properties
E_form (uncorrected)   667 meV/atom
M_tot   4.5 μB per formula unit
Calculated total energy   -4.726 eV/atom
Space group   No. 123

***

Record 9
Material: ZrV2NiBr
Method: DFT, GGA-PBE
State: relaxed

```
ZrV2NiBr
1.0
-1.676 3.678 -2.080
-1.502 -2.610 -3.405
-4.326 -0.622 2.385
Br V Zr Ni
1 2 1 1
direct
0.500 0.500 0.500 Br
0.000 0.500 0.000 V
0.500 0.000 0.000 V
0.000 0.000 0.500 Zr
0.000 0.000 0.000 Ni
```

Properties
E_form (uncorrected)   702 meV/atom
M_tot   4.4 μB per formula unit
Calculated total energy   -6.145 eV/atom
Space group   No. 123

***

Record 10
Material: NiWBr2
Method: DFT, GGA-PBE
State: relaxed

```
NiWBr2
1.0
1.877 0.000 8.213
-0.938 1.625 8.213
-0.938 -1.625 8.213
Br W Ni
2 1 1
direct
0.900 0.900 0.900 Br
0.100 0.100 0.100 Br
0.000 0.000 0.000 W
0.500 0.500 0.500 Ni
```

Properties
E_form (uncorrected)   748 meV/atom
M_tot   0.4 μB per formula unit
Calculated total energy   -4.772 eV/atom
ΔE to the lowest computed polymorph   605.0 meV/atom
Space group   No. 166

***

Record 11
Material: NiW2Br
Method: DFT, GGA-PBE
State: relaxed

```
NiW2Br
1.0
-1.408 -2.804 -3.271
0.070 -4.439 -0.917
-6.205 -4.171 1.000
Br W Ni
1 2 1
direct
0.500 0.500 0.000 Br
0.765 0.765 0.369 W
0.235 0.235 0.631 W
0.000 0.000 0.500 Ni
```

Properties
E_form (uncorrected)   707 meV/atom
M_tot   0.0 μB per formula unit
Calculated total energy   -7.633 eV/atom
ΔE to the lowest computed polymorph   227.4 meV/atom
Space group   No. 12

***

Record 12
Material: NiW2Br
Method: DFT, GGA-PBE
State: relaxed

```
NiW2Br
1.0
2.809 -0.003 0.000
-1.172 2.553 0.000
0.000 0.000 9.073
Br W Ni
1 2 1
direct
0.500 0.500 0.250 Br
0.000 0.000 0.977 W
0.000 0.000 0.523 W
0.500 0.500 0.750 Ni
```

Properties
E_form (uncorrected)   966 meV/atom
M_tot   0.0 μB per formula unit
Calculated total energy   -7.374 eV/atom
ΔE to the lowest computed polymorph   486.2 meV/atom
Space group   No. 65

***

What is the E_form (uncorrected) in the sixth record? 1027 meV/atom

***

What is the formula in the eleventh record? NiW2Br

***

Among the records above, which one has the highest E_form (uncorrected)? number 2